Co2IrPt: optimized geometry, PBE-GGA.

Properties
Calculated formation energy = 0.189 eV/atom
Total DFT energy (no corrections) = -0.2605 hartree per atom
Relative energy among the computed polymorphs = 0.188 eV/atom

a b c (Å): 5.1533 5.1533 2.6561
angles (deg): 75.80 75.80 117.78
Closest atoms and distances in Å follow each position.
Sites, in units of the cell vectors:
Co  0.0000  0.0000  0.0000  2 Pt 2.59, 2 Ir 2.59, 6 Co 2.66-2.73
Co  0.5000  0.5000  0.0000  2 Ir 2.59, 2 Pt 2.59, 6 Co 2.66-2.73
Pt  0.0000  0.5000  0.5000  4 Co 2.59, 2 Pt 2.66, 4 Ir 2.66-2.73
Ir  0.5000  0.0000  0.5000  4 Co 2.59, 2 Ir 2.66, 4 Pt 2.66-2.73